Li2SbW, relaxed, DFT PBE-GGA; ΔE_f (raw) = 283 meV/atom; M_tot = 0.000 μB per cell; E = -19.770 eV/f.u.
1.0
5.6532 0.0413 0.0485
4.8094 2.9715 0.0485
1.8007 0.5185 4.1766
Li Sb W
2 1 1
Direct
0.9976 0.9976 0.0019 Li
0.5024 0.5024 0.4981 Li
0.2500 0.2500 0.2500 Sb
0.7500 0.7500 0.7500 W